Entry 1:
The following is a PBE+U calculation of a geometry-optimized Li2MnInF8 structure, from the Alexandria database.

Values from the calculation:
DOS(E_F)	0.0	states/eV/f.u.
magnetic moment	3.9	μB per formula unit
energy	-5.012	eV/atom

a b c (Å): 6.528 6.528 6.922
angles (deg): 90.00 90.00 90.00
Space group I-4m2 (No. 119)
Unique sites:
Li: 0.000 0.000 0.000 [2 per cell]
Li: 0.000 0.500 0.250 [2 per cell]
Mn: 0.000 0.000 0.500 [2 per cell]
In: 0.000 0.500 0.750 [2 per cell]
F: 0.000 0.191 0.806 [8 per cell]
F: 0.000 0.290 0.452 [8 per cell]



Entry 2:
The following is a PBE+U calculation of a geometry-optimized LiInMoF6 structure, from the Alexandria database.

Values from the calculation:
DOS(E_F)	2.8	states/eV/f.u.
magnetic moment	2.5	μB per formula unit
energy	-4.951	eV/atom

a b c (Å): 5.8204 5.8204 8.7572
angles (deg): 90.00 90.00 120.00
Space group P-31c (No. 163)
Unique sites:
Li: 0.0000 0.0000 0.0000 [2 per cell]
In: 0.3333 0.6667 0.2500 [2 per cell]
Mo: 0.3333 0.6667 0.7500 [2 per cell]
F: 0.0304 0.3494 0.6250 [12 per cell]